P.
Crystalline HfTiRe at its relaxed geometry, computed with GGA-PBE.

Results
SG: No. 69

Cell lengths 5.150, 5.150, 5.423 Å; angles 107.59, 107.59, 111.31 degrees
Fractional coordinates of all 6 atoms:
Hf 0.681 0.319 0.000
Hf 0.319 0.681 0.000
Ti 0.825 0.825 0.649
Ti 0.175 0.175 0.351
Re 0.750 0.250 0.500
Re 0.250 0.750 0.500

Q.
Crystalline HfTiRe at its relaxed geometry, computed with GGA-PBE.

Results
SG: No. 63

Cell lengths 3.265, 4.621, 7.205 Å; angles 90.00, 103.09, 90.00 degrees
Fractional coordinates of all 6 atoms:
Hf 0.919 0.250 0.838
Hf 0.081 0.750 0.162
Ti 0.231 0.250 0.462
Ti 0.769 0.750 0.538
Re 0.588 0.250 0.176
Re 0.412 0.750 0.824

Most stable one: Q, least stable one: P.

P.
Crystalline Hf2TiRe at its relaxed geometry, computed with GGA-PBE.

Results
SG: No. 123

Cell lengths 3.324, 4.696, 4.696 Å; angles 90.00, 90.00, 90.00 degrees
Fractional coordinates of all 4 atoms:
Re 0.500 0.000 0.000
Hf 0.000 0.000 0.500
Hf 0.000 0.500 0.000
Ti 0.500 0.500 0.500

Q.
Crystalline Hf2TiRe at its relaxed geometry, computed with GGA-PBE.

Results
SG: No. 122

Cell lengths 7.482, 7.482, 6.013 Å; angles 51.53, 51.53, 90.00 degrees
Fractional coordinates of all 8 atoms:
Re 0.000 0.000 0.000
Re 0.750 0.250 0.500
Hf 0.650 0.125 0.250
Hf 0.100 0.625 0.250
Hf 0.375 0.350 0.750
Hf 0.875 0.900 0.750
Ti 0.500 0.500 0.000
Ti 0.250 0.750 0.500

Most stable one: P, least stable one: Q.

P.
Crystalline HfTlRe3 at its relaxed geometry, computed with GGA-PBE.

Results
SG: No. 221

Cell lengths 4.861, 4.861, 4.861 Å; angles 90.00, 90.00, 90.00 degrees
Fractional coordinates of all 5 atoms:
Re 0.000 0.500 0.000
Re 0.000 0.000 0.500
Re 0.500 0.000 0.000
Tl 0.000 0.000 0.000
Hf 0.500 0.500 0.500

Q.
Crystalline HfTlRe3 at its relaxed geometry, computed with GGA-PBE.

Results
SG: No. 221

Cell lengths 4.861, 4.861, 4.861 Å; angles 90.00, 90.00, 90.00 degrees
Fractional coordinates of all 5 atoms:
Re 0.000 0.500 0.000
Re 0.000 0.000 0.500
Re 0.500 0.000 0.000
Tl 0.500 0.500 0.500
Hf 0.000 0.000 0.000

Most stable one: Q, least stable one: P.

P.
Crystalline HfRe2W2 at its relaxed geometry, computed with GGA-PBE.

Results
SG: No. 139

Cell lengths 4.196, 4.196, 6.222 Å; angles 70.29, 70.29, 90.00 degrees
Fractional coordinates of all 5 atoms:
Re 0.750 0.250 0.500
Re 0.250 0.750 0.500
Hf 0.000 0.000 0.000
W 0.381 0.381 0.239
W 0.619 0.619 0.761

Q.
Crystalline HfRe2W2 at its relaxed geometry, computed with GGA-PBE.

Results
SG: No. 127

Cell lengths 7.716, 7.716, 2.900 Å; angles 90.00, 90.00, 90.00 degrees
Fractional coordinates of all 10 atoms:
Re 0.152 0.652 0.500
Re 0.652 0.848 0.500
Re 0.848 0.348 0.500
Re 0.348 0.152 0.500
Hf 0.000 0.000 0.000
Hf 0.500 0.500 0.000
W 0.355 0.855 0.000
W 0.855 0.645 0.000
W 0.645 0.145 0.000
W 0.145 0.355 0.000

Most stable one: Q, least stable one: P.